Arrangement A

Entry from Alexandria via LeMat-Bulk: crystalline Al2CN at its relaxed geometry (PBE).

Computed properties:
The symmetry is P3m1, No. 156.

Cell lengths 3.130, 3.130, 5.431 Å; angles 89.99, 90.00, 120.01 degrees
Atoms (fractional coordinates):
C (0.403, 0.829, 0.207)
N (0.736, 0.496, 0.695)
Al (0.403, 0.829, 0.575)
Al (0.736, 0.496, 0.042)

Arrangement B

Entry from Alexandria via LeMat-Bulk: crystalline Al2CN at its relaxed geometry (PBE).

Computed properties:
The symmetry is I-42d, No. 122.

Cell lengths 4.641, 4.641, 5.417 Å; angles 64.64, 64.64, 90.00 degrees
Each line ends with the local moment (μB).
Atoms (fractional coordinates):
C (0.500, 0.500, 0.000)  0.42
Al (0.106, 0.625, 0.250)  0.03
Al (0.644, 0.125, 0.250)  0.03
N (0.000, 0.000, 0.000)  0.09
Al (0.375, 0.356, 0.750)  0.02
C (0.250, 0.750, 0.500)  0.42
N (0.750, 0.250, 0.500)  0.09
Al (0.875, 0.894, 0.750)  0.02

If we sort the structures by their calculated energies, the order from most to least stable is arrangement A, arrangement B.